(1)
Below is a relaxed Nd6Sm4Pu crystal, with properties calculated at the PBE level.

a b c (Å): 5.950 5.704 25.949
angles (deg): 90.00 90.00 121.44
Sites, in units of the cell vectors:
Nd (0.119, 0.237, 0.318)
Nd (0.500, 0.000, 0.000)
Nd (0.795, 0.590, 0.395)
Nd (0.795, 0.590, 0.105)
Nd (0.545, 0.090, 0.750)
Nd (0.881, 0.763, 0.682)
Nd (0.205, 0.410, 0.605)
Nd (0.500, 0.000, 0.500)
Nd (0.119, 0.237, 0.182)
Nd (0.881, 0.763, 0.818)
Nd (0.205, 0.410, 0.895)
Nd (0.455, 0.910, 0.250)
Sm (0.448, 0.897, 0.123)
Sm (0.852, 0.705, 0.544)
Sm (0.148, 0.295, 0.456)
Sm (0.852, 0.705, 0.956)
Sm (0.448, 0.897, 0.377)
Sm (0.148, 0.295, 0.044)
Sm (0.552, 0.103, 0.877)
Sm (0.552, 0.103, 0.623)
Pu (0.209, 0.418, 0.750)
Pu (0.791, 0.582, 0.250)

Computed properties:
Space-group type ... Cmcm
Fermi-level density of states ... 28.43 states/eV/f.u.
M_tot ... 0.58 μB per atom
E_form ... 0.166 eV/atom


(2)
Below is a relaxed KNi crystal, with properties calculated at the PBE level.

a b c (Å): 6.681 6.681 6.380
angles (deg): 90.00 90.00 90.00
Sites, in units of the cell vectors:
Ni (0.617, 0.617, 0.000)
Ni (0.383, 0.383, 0.000)
Ni (0.117, 0.883, 0.500)
Ni (0.883, 0.117, 0.500)
K (0.814, 0.186, 0.000)
K (0.186, 0.814, 0.000)
K (0.686, 0.686, 0.500)
K (0.314, 0.314, 0.500)

Computed properties:
Space-group type ... P4_2/mnm
Fermi-level density of states ... 5.52 states/eV/f.u.
M_tot ... 0.50 μB per atom
E_form ... 0.967 eV/atom
Offset from the most stable computed form ... 455 meV per atom


(3)
Below is a relaxed La2CeSm3Se6 crystal, with properties calculated at the PBE level.

a b c (Å): 4.213 8.490 9.448
angles (deg): 103.01 102.88 90.00
Sites, in units of the cell vectors:
Sm (0.168, 0.835, 0.335)
Sm (0.500, 0.500, 0.000)
Sm (0.832, 0.165, 0.665)
La (0.165, 0.332, 0.331)
La (0.835, 0.668, 0.669)
Se (0.333, 0.923, 0.666)
Se (0.003, 0.749, 0.006)
Se (0.335, 0.411, 0.670)
Se (0.667, 0.077, 0.334)
Se (0.665, 0.589, 0.330)
Se (0.997, 0.251, 0.994)
Ce (0.500, 0.000, 0.000)

Computed properties:
Space-group type ... C2/m
Fermi-level density of states ... 11.61 states/eV/f.u.
Formation energy from raw total energies ... -1.8823 eV/atom
M_tot ... 0.10 μB per atom


(4)
Below is a relaxed InCoPt2 crystal, with properties calculated at the PBE level.

a b c (Å): 4.767 4.767 2.897
angles (deg): 90.00 90.00 106.81
Sites, in units of the cell vectors:
In (0.000, 0.500, 0.500)
Pt (0.000, 0.000, 0.000)
Pt (0.500, 0.500, 0.000)
Co (0.500, 0.000, 0.500)

Computed properties:
Space-group type ... Cmmm
Fermi-level density of states ... 4.18 states/eV/f.u.
M_tot ... 0.52 μB per atom
E_form ... -0.165 eV/atom


(5)
Below is a relaxed Tm4BiSb2Te crystal, with properties calculated at the PBE level.

a b c (Å): 4.354 7.544 7.533
angles (deg): 70.62 90.00 90.00
Sites, in units of the cell vectors:
Tm (0.500, 0.760, 0.245)
Tm (0.000, 0.242, 0.251)
Tm (0.500, 0.240, 0.755)
Tm (0.000, 0.758, 0.749)
Bi (0.500, 0.500, 0.000)
Sb (0.000, 0.000, 0.000)
Sb (0.500, 0.000, 0.500)
Te (0.000, 0.500, 0.500)

Computed properties:
Space-group type ... P2/m
Fermi-level density of states ... 1.48 states/eV/f.u.
Formation energy from raw total energies ... -1.0642 eV/atom
M_tot ... 0.00 μB per atom


(6)
Below is a relaxed Y2SnRu2 crystal, with properties calculated at the PBE level.

a b c (Å): 5.545 5.776 8.082
angles (deg): 103.83 90.00 118.69
Sites, in units of the cell vectors:
Y (0.801, 0.290, 0.646)
Y (0.199, 0.710, 0.354)
Y (0.489, 0.290, 0.146)
Y (0.511, 0.710, 0.854)
Sn (0.140, 0.000, 0.750)
Sn (0.860, 0.000, 0.250)
Ru (0.699, 0.711, 0.489)
Ru (0.301, 0.289, 0.511)
Ru (0.988, 0.289, 0.011)
Ru (0.012, 0.711, 0.989)

Computed properties:
Space-group type ... C2/c
Fermi-level density of states ... 2.70 states/eV/f.u.
M_tot ... 0.00 μB per atom
E_form ... -0.499 eV/atom


(7)
Below is a relaxed HoScP2Rh5 crystal, with properties calculated at the PBE level.

a b c (Å): 4.017 4.017 10.315
angles (deg): 90.00 90.00 90.00
Sites, in units of the cell vectors:
P (0.500, 0.500, 0.281)
P (0.500, 0.500, 0.719)
Rh (0.000, 0.500, 0.819)
Rh (0.500, 0.000, 0.181)
Rh (0.500, 0.500, 0.500)
Rh (0.000, 0.500, 0.181)
Rh (0.500, 0.000, 0.819)
Sc (0.000, 0.000, 0.000)
Ho (0.000, 0.000, 0.500)

Computed properties:
Space-group type ... P4/mmm
Fermi-level density of states ... 4.21 states/eV/f.u.
M_tot ... 0.00 μB per atom
E_form ... -0.723 eV/atom


(8)
Below is a relaxed NaAg2Br2 crystal, with properties calculated at the PBE level.

a b c (Å): 8.098 8.098 3.952
angles (deg): 90.00 90.00 90.00
Sites, in units of the cell vectors:
Br (0.210, 0.710, 0.500)
Br (0.290, 0.210, 0.500)
Br (0.790, 0.290, 0.500)
Br (0.710, 0.790, 0.500)
Na (0.500, 0.500, 0.000)
Na (0.000, 0.000, 0.000)
Ag (0.383, 0.883, 0.000)
Ag (0.617, 0.117, 0.000)
Ag (0.883, 0.617, 0.000)
Ag (0.117, 0.383, 0.000)

Computed properties:
Space-group type ... P4/mbm
Fermi-level density of states ... 1.98 states/eV/f.u.
Formation energy from raw total energies ... -0.3252 eV/atom
M_tot ... 0.00 μB per atom
Offset from the most stable computed form ... 6 meV per atom